# 1
Ce4Zn5Au2 | GGA-PBE | relaxed

abc: 7.226 3.326 9.836
angles: 90.00 93.57 90.00
Space group P2/m (No. 10)
Unique sites:
1 Ce 0.129 0.000 0.401
2 Ce 0.306 0.000 0.959
3 Zn 0.234 0.500 0.672
4 Zn 0.423 0.500 0.229
5 Zn 0.500 0.500 0.500
6 Au 0.046 0.500 0.144

Computed properties:
- E_form (eV per atom) = -0.32
- mass density (Mg/m³) = 9.018

# 2
NaCu2Br8 | GGA-PBE | relaxed

abc: 7.297 7.297 12.925
angles: 90.00 90.00 90.00
Space group I422 (No. 97)
Unique sites:
1 Na 0.000 0.000 0.000
2 Cu 0.000 0.500 0.250
3 Br 0.154 0.330 0.624

Computed properties:
- energy relative to the elements, uncorrected (eV/atom) = -0.30
- mass density (Mg/m³) = 3.809

# 3
Ca2PmPaP4 | GGA-PBE | relaxed

abc: 7.073 4.132 7.113
angles: 90.00 109.43 90.00
Space group P2/m (No. 10)
Unique sites:
1 Ca 0.000 0.000 0.000
2 Ca 0.000 0.500 0.500
3 Pm 0.500 0.000 0.500
4 Pa 0.500 0.500 0.000
5 P 0.266 0.500 0.240
6 P 0.270 0.000 0.768

Computed properties:
- E_form (eV per atom) = -1.32
- mass density (Mg/m³) = 4.914

What is the formula in the third record? Ca2PmPaP4

Look up the mass density of the third one. 4.914 Mg/m³

Number 3 is which compound? Ca2PmPaP4

What did the first record say?
Ce4Zn5Au2 | GGA-PBE | relaxed

abc: 7.226 3.326 9.836
angles: 90.00 93.57 90.00
Space group P2/m (No. 10)
Unique sites:
1 Ce 0.129 0.000 0.401
2 Ce 0.306 0.000 0.959
3 Zn 0.234 0.500 0.672
4 Zn 0.423 0.500 0.229
5 Zn 0.500 0.500 0.500
6 Au 0.046 0.500 0.144

Computed properties:
- E_form (eV per atom) = -0.32
- mass density (Mg/m³) = 9.018